! ZnGaP2 | the Alexandria database | meta-GGA SCAN | PBEsol geometry; values from VASP
&SYSTEM
  ibrav = 0, nat = 16, ntyp = 3
/
ATOMIC_SPECIES
Zn 65.41 Zn.upf
Ga 69.72 Ga.upf
P 30.97 P.upf
CELL_PARAMETERS angstrom
5.418 0.000 0.000
0.000 5.418 0.000
0.000 0.000 10.707
ATOMIC_POSITIONS angstrom
Zn 0.000 0.000 0.000
Zn 0.000 2.709 2.677
Zn 2.709 0.000 8.030
Zn 2.709 2.709 5.353
Ga 0.000 0.000 5.353
Ga 0.000 2.709 8.030
Ga 2.709 0.000 2.677
Ga 2.709 2.709 0.000
P 1.341 1.355 1.338
P 1.355 4.051 4.015
P 1.355 4.077 9.368
P 1.368 1.355 6.692
P 4.051 4.064 6.692
P 4.064 1.341 9.368
P 4.064 1.368 4.015
P 4.077 4.064 1.338
! symmetry	I-42d
! formation energy	-0.79	eV per formula unit
! M_tot	0.00	μB/f.u.

=====

! Sc2MoW | the Alexandria database | meta-GGA SCAN | PBEsol geometry; values from VASP
&SYSTEM
  ibrav = 0, nat = 4, ntyp = 3
/
ATOMIC_SPECIES
Sc 44.96 Sc.upf
Mo 95.94 Mo.upf
W 183.84 W.upf
CELL_PARAMETERS angstrom
3.188 0.000 0.000
0.000 3.188 0.000
0.000 0.000 7.456
ATOMIC_POSITIONS angstrom
Sc 0.000 0.000 0.000
Sc 1.594 1.594 2.561
Mo 1.594 1.594 5.735
W 0.000 0.000 4.337
! symmetry	P4mm
! formation energy	0.18	eV per formula unit
! polymorph energy (0 for the lowest one)	0.0000	eV/atom
! M_tot	0.00	μB/f.u.

=====

! Cs3CrGe | the Alexandria database | meta-GGA SCAN | PBEsol geometry; values from VASP
&SYSTEM
  ibrav = 0, nat = 5, ntyp = 3
/
ATOMIC_SPECIES
Cs 132.91 Cs.upf
Cr 52.00 Cr.upf
Ge 72.64 Ge.upf
CELL_PARAMETERS angstrom
6.746 0.000 0.000
0.000 6.746 0.000
0.000 0.000 6.746
ATOMIC_POSITIONS angstrom
Cs 0.000 0.000 3.373
Cs 0.000 3.373 0.000
Cs 3.373 0.000 0.000
Cr 0.000 0.000 0.000
Ge 3.373 3.373 3.373
! symmetry	Pm-3m
! formation energy	4.08	eV per formula unit
! M_tot	7.37	μB/f.u.

=====

! La2AlAs | the Alexandria database | meta-GGA SCAN | PBEsol geometry; values from VASP
&SYSTEM
  ibrav = 0, nat = 4, ntyp = 3
/
ATOMIC_SPECIES
La 138.91 La.upf
Al 26.98 Al.upf
As 74.92 As.upf
CELL_PARAMETERS angstrom
4.951 0.000 0.000
0.000 4.951 0.000
0.000 0.000 4.089
ATOMIC_POSITIONS angstrom
La 0.000 2.475 0.000
La 2.475 0.000 0.000
Al 0.000 0.000 2.044
As 2.475 2.475 2.044
! symmetry	P4/mmm
! formation energy	-3.00	eV per formula unit
! polymorph energy (0 for the lowest one)	0.0000	eV/atom
! M_tot	0.00	μB/f.u.

=====

! TmPS | the Alexandria database | meta-GGA SCAN | PBEsol geometry; values from VASP
&SYSTEM
  ibrav = 0, nat = 12, ntyp = 3
/
ATOMIC_SPECIES
Tm 168.93 Tm.upf
P 30.97 P.upf
S 32.06 S.upf
CELL_PARAMETERS angstrom
6.800 0.000 0.000
0.000 3.574 0.000
0.000 0.000 8.964
ATOMIC_POSITIONS angstrom
Tm 1.420 0.894 1.439
Tm 1.980 2.681 5.921
Tm 4.820 0.894 3.043
Tm 5.380 2.681 7.524
P 0.635 0.894 4.136
P 2.765 2.681 8.618
P 4.035 0.894 0.346
P 6.165 2.681 4.828
S 0.620 0.894 7.589
S 2.780 2.681 3.107
S 4.020 0.894 5.857
S 6.180 2.681 1.375
! symmetry	Pnma
! M_tot	0.00	μB/f.u.
! E_form (uncorrected)	-487	kJ/mol of formula units

=====

! InHg3 | the Alexandria database | meta-GGA SCAN | PBEsol geometry; values from VASP
&SYSTEM
  ibrav = 0, nat = 8, ntyp = 2
/
ATOMIC_SPECIES
In 114.82 In.upf
Hg 200.59 Hg.upf
CELL_PARAMETERS angstrom
3.769 0.000 0.000
0.000 4.901 0.000
0.000 0.000 10.481
ATOMIC_POSITIONS angstrom
In 0.000 0.000 0.000
In 1.884 2.450 0.000
Hg 0.000 2.450 5.240
Hg 0.942 1.225 7.833
Hg 0.942 3.675 2.648
Hg 1.884 0.000 5.240
Hg 2.827 1.225 2.648
Hg 2.827 3.675 7.833
! symmetry	C222
! formation energy	0.09	eV per formula unit
! M_tot	0.00	μB/f.u.